Record 1
## CsPtBr (GGA-PBE)

Data for a relaxed structure of CsPtBr.

## Properties
Total DFT energy (no corrections) in eV per atom: -3.510
Volume in Å³/f.u.: 106.95
Energy relative to the lowest polymorph listed for this composition in meV/atom: 25.9
Uncorrected formation energy in eV/atom: -0.65

a = 9.684 Å, b = 6.131 Å, c = 3.889 Å
α = 89.99°, β = 101.61°, γ = 108.55°
Positions (direct):
Cs  0.808  0.497  0.863
Cs  0.331  0.262  0.623
Pt  0.349  0.772  0.132
Pt  0.541  0.866  0.728
Br  0.145  0.669  0.530
Br  0.739  0.962  0.328

---

Record 2
## CsRb2PtBr (GGA-PBE)

Data for a relaxed structure of CsRb2PtBr.

## Properties
Total DFT energy (no corrections) in eV per atom: -2.675
Volume in Å³/f.u.: 263.03
Uncorrected formation energy in eV/atom: -0.57

a = 6.329 Å, b = 6.329 Å, c = 6.566 Å
α = 90.00°, β = 90.00°, γ = 90.00°
Positions (direct):
Cs  0.000  0.000  0.500
Br  0.500  0.500  0.500
Rb  0.000  0.500  0.000
Rb  0.500  0.000  0.000
Pt  0.000  0.000  0.000

---

Record 3
## CsRb2PtBr6 (GGA-PBE)

Data for a relaxed structure of CsRb2PtBr6.

## Properties
Total DFT energy (no corrections) in eV per atom: -2.948
Volume in Å³/f.u.: 418.13
Uncorrected formation energy in eV/atom: -1.06

a = 8.231 Å, b = 8.231 Å, c = 8.483 Å
α = 60.98°, β = 60.98°, γ = 90.00°
Each line ends with the local moment (μB).
Positions (direct):
Cs  0.500  0.500  0.000  0.02
Br  0.226  0.226  0.547  0.15
Br  0.774  0.774  0.453  0.15
Br  0.214  0.214  0.000  0.01
Br  0.786  0.786  0.000  0.01
Br  0.786  0.214  0.000  0.01
Br  0.214  0.786  0.000  0.01
Rb  0.750  0.250  0.500  0.00
Rb  0.250  0.750  0.500  0.00
Pt  0.000  0.000  0.000  0.49

---

Record 4
## Cs2PtSBr6 (GGA-PBE)

Data for a relaxed structure of Cs2PtSBr6.

## Properties
Total DFT energy (no corrections) in eV per atom: -2.936
Volume in Å³/f.u.: 321.53
Uncorrected formation energy in eV/atom: -0.75

a = 7.838 Å, b = 7.838 Å, c = 7.623 Å
α = 59.06°, β = 59.06°, γ = 90.00°
Positions (direct):
Cs  0.750  0.250  0.500
Cs  0.250  0.750  0.500
S  0.500  0.500  0.000
Br  0.253  0.253  0.494
Br  0.747  0.747  0.506
Br  0.230  0.230  0.000
Br  0.770  0.770  0.000
Br  0.770  0.230  0.000
Br  0.230  0.770  0.000
Pt  0.000  0.000  0.000

---

Record 5
## Cs2SbPtBr6 (GGA-PBE)

Data for a relaxed structure of Cs2SbPtBr6.

## Properties
Total DFT energy (no corrections) in eV per atom: -3.105
Volume in Å³/f.u.: 341.31
Uncorrected formation energy in eV/atom: -0.91

a = 7.856 Å, b = 7.856 Å, c = 7.839 Å
α = 59.93°, β = 59.93°, γ = 90.00°
Positions (direct):
Cs  0.750  0.250  0.500
Cs  0.250  0.750  0.500
Sb  0.500  0.500  0.000
Br  0.241  0.241  0.519
Br  0.759  0.759  0.481
Br  0.241  0.241  0.000
Br  0.759  0.759  0.000
Br  0.759  0.241  0.000
Br  0.241  0.759  0.000
Pt  0.000  0.000  0.000

---

Record 6
## CsSbPtBr2 (GGA-PBE)

Data for a relaxed structure of CsSbPtBr2.

## Properties
Total DFT energy (no corrections) in eV per atom: -2.537
Volume in Å³/f.u.: 261.54
Uncorrected formation energy in eV/atom: 0.34

a = 5.517 Å, b = 8.594 Å, c = 5.517 Å
α = 90.00°, β = 90.00°, γ = 90.00°
Each line ends with the local moment (μB).
Positions (direct):
Cs  0.000  0.500  0.000  0.00
Sb  0.000  0.000  0.000  0.11
Br  0.000  0.000  0.500  0.04
Br  0.500  0.000  0.000  0.01
Pt  0.500  0.500  0.500  1.05

---

Record 7
## CsPtSe2Br (GGA-PBE)

Data for a relaxed structure of CsPtSe2Br.

## Properties
Total DFT energy (no corrections) in eV per atom: -3.472
Volume in Å³/f.u.: 145.55
Energy relative to the lowest polymorph listed for this composition in meV/atom: 0.0
Uncorrected formation energy in eV/atom: -0.36

a = 5.075 Å, b = 5.075 Å, c = 5.652 Å
α = 90.00°, β = 90.00°, γ = 90.00°
Each line ends with the local moment (μB).
Positions (direct):
Cs  0.500  0.500  0.500  0.01
Se  0.000  0.500  0.000  0.31
Se  0.500  0.000  0.000  0.31
Br  0.000  0.000  0.500  0.04
Pt  0.000  0.000  0.000  0.28

---

Record 8
## CsPtSe2Br (GGA-PBE)

Data for a relaxed structure of CsPtSe2Br.

## Properties
Total DFT energy (no corrections) in eV per atom: -1.638
Volume in Å³/f.u.: 213.33
Energy relative to the lowest polymorph listed for this composition in meV/atom: 1834.0
Uncorrected formation energy in eV/atom: 1.47

a = 5.739 Å, b = 5.739 Å, c = 6.476 Å
α = 90.00°, β = 90.00°, γ = 90.00°
Each line ends with the local moment (μB).
Positions (direct):
Cs  0.000  0.000  0.000  -0.01
Se  0.000  0.500  0.000  0.28
Se  0.500  0.000  0.000  0.28
Br  0.000  0.000  0.500  0.13
Pt  0.500  0.500  0.500  0.78

---

> Which formula does entry 8 have?

CsPtSe2Br

---

> total DFT energy (no corrections) of number 1 (CsPtBr)?

-3.510 eV per atom

---

> The highest volume belongs to which entry?

CsRb2PtBr6